Material: La3Pr9Ho2
Method: DFT, GGA-PBE
State: relaxed

Properties
crystal system = monoclinic
N(E_F) = 21.4 states/eV/f.u.
formation energy = 233 meV/atom
space group = No. 12

Lattice parameters (Å, degrees): 6.435 19.502 19.502 20.85 37.46 37.46
Element x y z (fractional)
1 Pr 0.933 0.416 0.914
2 Pr 0.342 0.132 0.631
3 La 0.001 0.250 0.250
4 Pr 0.067 0.086 0.584
5 Pr 0.000 0.500 0.500
6 Pr 0.658 0.868 0.369
7 Pr 0.067 0.584 0.086
8 La 0.999 0.750 0.750
9 Pr 0.933 0.914 0.416
10 Pr 0.342 0.631 0.132
11 Pr 0.658 0.369 0.868
12 Ho 0.500 0.749 0.251
13 La 0.000 0.000 0.000
14 Ho 0.500 0.251 0.749